No. 1
4
Lattice="4.587 0.000 0.000 0.000 4.741 0.000 0.000 0.000 4.966" Properties=species:S:1:pos:R:3 comment="ThCdHgPb PBE relaxed" delta_e_f_ev_per_atom=-0.245 relative_energy_mev_per_atom=0 sg="No. 47" pbc="T T T"
Th 0.000 0.000 0.000
Cd 0.000 2.370 2.483
Hg 2.294 0.000 2.483
Pb 2.294 2.370 0.000


No. 2
9
Lattice="9.323 0.000 0.000 -4.661 8.074 0.000 0.000 0.000 3.470" Properties=species:S:1:pos:R:3 comment="Tl3Cd2HgPb3 PBE relaxed" delta_e_f_ev_per_atom=0.043 sg="No. 189" pbc="T T T"
Tl -3.210 5.559 0.000
Tl 1.452 2.514 0.000
Tl 6.419 0.000 0.000
Cd 0.000 5.383 0.000
Cd 4.661 2.691 0.000
Hg 0.000 0.000 1.735
Pb -1.653 2.864 1.735
Pb 3.307 0.000 1.735
Pb 3.008 5.210 1.735


No. 3
12
Lattice="9.167 0.000 0.000 0.000 3.694 0.000 -4.153 0.000 10.260" Properties=species:S:1:pos:R:3 comment="Tl3CdHgPb PBE relaxed" delta_e_f_ev_per_atom=0.016 sg="No. 11" pbc="T T T"
Tl -0.046 0.923 2.995
Tl 1.409 2.770 0.497
Tl -0.709 2.770 5.769
Tl 5.723 0.923 4.491
Tl 3.606 0.923 9.764
Tl 5.060 2.770 7.266
Cd 0.906 2.770 9.065
Cd 4.108 0.923 1.196
Hg -1.492 0.923 8.335
Hg 6.506 2.770 1.925
Pb 2.894 2.770 3.716
Pb 2.120 0.923 6.545


No. 4
12
Lattice="3.544 -3.241 0.000 3.544 3.241 0.000 -0.095 0.000 14.432" Properties=species:S:1:pos:R:3 comment="Tl2Cd2Hg7Pb PBE relaxed" delta_e_f_ev_per_atom=0.022 sg="No. 12" pbc="T T T"
Tl -0.001 0.000 2.449
Tl 6.994 0.000 11.983
Cd 3.437 0.000 11.680
Cd 3.557 0.000 2.752
Hg 1.750 1.617 4.878
Hg 2.014 0.000 0.006
Hg 5.243 1.617 9.554
Hg 3.497 0.000 7.216
Hg 1.750 -1.617 4.878
Hg 4.979 0.000 14.426
Hg 5.243 -1.617 9.554
Pb -0.048 0.000 7.216


No. 5
11
Lattice="5.526 0.000 0.000 -2.763 4.786 0.000 0.000 0.000 12.075" Properties=species:S:1:pos:R:3 comment="Tl3Cd2Hg4Pb2 PBE relaxed" delta_e_f_ev_per_atom=0.027 sg="No. 164" pbc="T T T"
Tl 0.000 0.000 0.000
Tl 0.000 0.000 3.626
Tl 0.000 0.000 8.449
Cd 0.000 3.190 7.617
Cd 2.763 1.595 4.458
Hg 0.000 3.190 4.775
Hg 0.000 3.190 10.563
Hg 2.763 1.595 1.513
Hg 2.763 1.595 7.300
Pb 0.000 3.190 1.658
Pb 2.763 1.595 10.418


No. 6
10
Lattice="8.595 0.000 0.000 0.000 3.395 0.000 -3.424 0.000 9.402" Properties=species:S:1:pos:R:3 comment="TlCd2HgPb PBE relaxed" delta_e_f_ev_per_atom=0.031 sg="No. 11" pbc="T T T"
Tl 0.100 0.849 1.741
Tl 5.070 2.546 7.661
Cd -1.181 0.849 5.876
Cd 3.264 2.546 2.437
Cd 1.907 0.849 6.965
Cd 6.351 2.546 3.526
Hg 1.046 2.546 4.478
Hg 4.125 0.849 4.924
Pb -0.631 0.849 9.021
Pb 5.801 2.546 0.381


No. 7
12
Lattice="13.478 -2.476 0.000 13.478 2.476 0.000 -0.902 0.000 4.873" Properties=species:S:1:pos:R:3 comment="TlCd2Hg7Pb2 PBE relaxed" delta_e_f_ev_per_atom=0.029 sg="No. 12" pbc="T T T"
Tl 0.000 0.000 0.000
Cd 8.803 0.000 1.647
Cd 17.251 0.000 3.226
Hg 1.795 0.000 2.858
Hg 4.250 0.000 0.790
Hg 10.331 0.000 4.453
Hg 13.027 0.000 2.436
Hg 15.723 0.000 0.420
Hg 21.804 0.000 4.083
Hg 24.259 0.000 2.015
Pb 6.063 0.000 3.658
Pb 19.992 0.000 1.215


No. 8
10
Lattice="8.460 0.000 0.000 0.000 3.529 0.000 -3.657 0.000 9.405" Properties=species:S:1:pos:R:3 comment="TlCdHg2Pb PBE relaxed" delta_e_f_ev_per_atom=0.017 sg="No. 11" pbc="T T T"
Tl -0.024 0.882 1.735
Tl 4.827 2.646 7.669
Cd 0.789 2.646 4.527
Cd 4.014 0.882 4.878
Hg -1.328 0.882 5.985
Hg 2.999 2.646 2.529
Hg 1.804 0.882 6.876
Hg 6.131 2.646 3.420
Pb -0.822 0.882 9.177
Pb 5.625 2.646 0.228